Entry 1:
4
Lattice="3.463 0.000 0.000 0.000 3.463 0.000 0.000 0.000 5.996" Properties=species:S:1:pos:R:3 comment="In2PRu (PBE, relaxed)" final_energy_ev_per_cell=-19.1 pbc="T T T"
In 0.000 0.000 1.480
In 0.000 0.000 4.516
P 1.731 1.731 2.998
Ru 1.731 1.731 0.000

Entry 2:
8
Lattice="4.136 0.000 0.000 0.000 4.136 0.000 0.000 0.000 8.536" Properties=species:S:1:pos:R:3 comment="In2PRu (PBE, relaxed)" final_energy_ev_per_cell=-37.4 pbc="T T T"
In 0.000 0.000 0.000
In 0.000 2.068 2.134
In 2.068 0.000 6.402
In 2.068 2.068 4.268
P 0.000 2.068 6.402
P 2.068 0.000 2.134
Ru 0.000 0.000 4.268
Ru 2.068 2.068 0.000

Entry 3:
6
Lattice="3.021 0.000 0.000 0.000 5.876 0.000 0.000 0.000 5.867" Properties=species:S:1:pos:R:3 comment="InPRu (PBE, relaxed)" final_energy_ev_per_cell=-36.3 pbc="T T T"
In 0.000 0.000 0.000
In 1.510 2.938 0.352
P 1.510 0.000 3.495
P 1.510 2.938 3.578
Ru 0.000 1.498 2.383
Ru 0.000 4.379 2.383